DFT (PBE) results for an optimized crystal structure of BaFeBP2.

Computed properties:
Formation energy: 3.75 eV per formula unit
Fermi-level density of states: 0.875 states/eV/atom
Total moment: 2.41 μB/f.u.

Cell: 4.3001 4.3001 6.0006 Å, 90.00 90.00 90.00°
With the nearest neighbours (Å) after each atom.
Fractional positions:
Ba1 0.0000 0.0000 0.0000  2 Fe 3.00, 4 B 3.04
Fe1 0.0000 0.0000 0.5000  4 P 2.15
B1 0.5000 0.5000 0.0000  4 Ba 3.04
P1 0.0000 0.5000 0.5000  2 Fe 2.15
P2 0.5000 0.0000 0.5000  2 Fe 2.15



DFT (PBE) results for an optimized crystal structure of Rb2BaFeB.

Computed properties:
Formation energy: 9.93 eV per formula unit
Fermi-level density of states: 1.441 states/eV/atom
Total moment: 1.90 μB/f.u.

Cell: 7.2052 7.2052 4.8169 Å, 90.00 90.00 90.00°
With the nearest neighbours (Å) after each atom.
Fractional positions:
Rb1 0.0000 0.5000 0.0000  2 Ba 3.60
Rb2 0.5000 0.0000 0.0000  2 Ba 3.60
Ba1 0.0000 0.0000 0.0000  2 Fe 2.41
Fe1 0.0000 0.0000 0.5000  2 Ba 2.41
B1 0.5000 0.5000 0.5000  8 Rb 4.33, 2 B 4.82



DFT (PBE) results for an optimized crystal structure of BaFe2BRh.

Computed properties:
Formation energy: 14.85 eV per formula unit
Fermi-level density of states: 1.548 states/eV/atom
Total moment: 5.07 μB/f.u.

Cell: 5.0005 5.0005 5.0395 Å, 90.00 90.00 90.00°
With the nearest neighbours (Å) after each atom.
Fractional positions:
Ba1 0.0000 0.0000 0.0000  4 Fe 2.50, 2 Rh 2.52
Fe1 0.0000 0.5000 0.0000  2 Ba 2.50
Fe2 0.5000 0.0000 0.0000  2 Ba 2.50
B1 0.5000 0.5000 0.5000  4 Rh 3.54, 8 Fe 3.55
Rh1 0.0000 0.0000 0.5000  2 Ba 2.52



DFT (PBE) results for an optimized crystal structure of BaFeSiB2.

Computed properties:
Fermi-level density of states: 1.415 states/eV/atom
Formation energy (no corrections): 1.736 eV per atom
Total moment: 0.32 μB/f.u.

Cell: 4.0270 4.0270 5.9249 Å, 90.00 90.00 90.00°
With the nearest neighbours (Å) after each atom.
Fractional positions:
Ba1 0.0000 0.0000 0.0000  4 Fe 2.85, 2 Si 2.96
Fe1 0.5000 0.5000 0.0000  4 Ba 2.85
Si1 0.0000 0.0000 0.5000  4 B 2.01
B1 0.0000 0.5000 0.5000  2 Si 2.01
B2 0.5000 0.0000 0.5000  2 Si 2.01



DFT (PBE) results for an optimized crystal structure of Ba3GaB.

Computed properties:
Formation energy: 1.89 eV per formula unit
Fermi-level density of states: 0.924 states/eV/atom
Polymorph energy (0 for the lowest one): 0 meV per atom
Total moment: 3.00 μB/f.u.

Cell: 5.8757 5.8757 5.8757 Å, 90.00 90.00 90.00°
With the nearest neighbours (Å) after each atom.
Fractional positions:
Ba1 0.0000 0.0000 0.5000  2 B 2.94
Ba2 0.0000 0.5000 0.0000  2 B 2.94
Ba3 0.5000 0.0000 0.0000  2 B 2.94
Ga1 0.5000 0.5000 0.5000  12 Ba 4.15
B1 0.0000 0.0000 0.0000  6 Ba 2.94



DFT (PBE) results for an optimized crystal structure of BaGaB3.

Computed properties:
Formation energy: 13.87 eV per formula unit
Fermi-level density of states: 1.261 states/eV/atom
Polymorph energy (0 for the lowest one): 1456 meV per atom
Total moment: 0.00 μB/f.u.

Cell: 5.0813 5.0813 5.0813 Å, 90.00 90.00 90.00°
With the nearest neighbours (Å) after each atom.
Fractional positions:
Ba1 0.0000 0.0000 0.0000  6 B 2.54
Ga1 0.5000 0.5000 0.5000  12 B 3.59
B1 0.0000 0.0000 0.5000  2 Ba 2.54
B2 0.0000 0.5000 0.0000  2 Ba 2.54
B3 0.5000 0.0000 0.0000  2 Ba 2.54



DFT (PBE) results for an optimized crystal structure of BaGa3B.

Computed properties:
Formation energy: 1.42 eV per formula unit
Fermi-level density of states: 0.672 states/eV/atom
Polymorph energy (0 for the lowest one): 0 meV per atom
Total moment: 0.00 μB/f.u.

Cell: 4.7545 4.7545 4.7545 Å, 90.00 90.00 90.00°
With the nearest neighbours (Å) after each atom.
Fractional positions:
Ba1 0.0000 0.0000 0.0000  12 Ga 3.36
Ga1 0.0000 0.5000 0.5000  2 B 2.38
Ga2 0.5000 0.0000 0.5000  2 B 2.38
Ga3 0.5000 0.5000 0.0000  2 B 2.38
B1 0.5000 0.5000 0.5000  6 Ga 2.38



DFT (PBE) results for an optimized crystal structure of BaGa2B.

Computed properties:
Formation energy: 0.53 eV per formula unit
Fermi-level density of states: 0.374 states/eV/atom
Total moment: 0.00 μB/f.u.

Cell: 8.1069 8.1069 8.1069 Å, 143.33 143.33 52.83°
With the nearest neighbours (Å) after each atom.
Fractional positions:
Ba1 0.3750 0.6250 0.7500  8 Ga 3.38, 4 B 3.61
Ba2 0.6250 0.3750 0.2500  8 Ga 3.38, 4 B 3.61
Ga1 0.0000 0.0000 0.0000  2 B 2.22
Ga2 0.0000 0.0000 0.5000  2 B 2.22
Ga3 0.0000 0.5000 0.0000  2 B 2.22
Ga4 0.5000 0.0000 0.5000  2 B 2.22
B1 0.1250 0.8750 0.2500  4 Ga 2.22
B2 0.8750 0.1250 0.7500  4 Ga 2.22



DFT (PBE) results for an optimized crystal structure of BaGa3B.

Computed properties:
Formation energy: 9.48 eV per formula unit
Fermi-level density of states: 1.336 states/eV/atom
Polymorph energy (0 for the lowest one): 1611 meV per atom
Total moment: 0.88 μB/f.u.

Cell: 6.0450 6.0450 6.0450 Å, 90.00 90.00 90.00°
With the nearest neighbours (Å) after each atom.
Fractional positions:
Ba1 0.0000 0.0000 0.0000  6 Ga 3.02
Ga1 0.0000 0.0000 0.5000  2 Ba 3.02
Ga2 0.0000 0.5000 0.0000  2 Ba 3.02
Ga3 0.5000 0.0000 0.0000  2 Ba 3.02
B1 0.5000 0.5000 0.5000  12 Ga 4.27



DFT (PBE) results for an optimized crystal structure of BaGaB3.

Computed properties:
Formation energy: 6.59 eV per formula unit
Fermi-level density of states: 0.732 states/eV/atom
Polymorph energy (0 for the lowest one): 0 meV per atom
Total moment: 0.00 μB/f.u.

Cell: 4.4208 4.4208 4.4208 Å, 90.00 90.00 90.00°
With the nearest neighbours (Å) after each atom.
Fractional positions:
Ba1 0.0000 0.0000 0.0000  12 B 3.13
Ga1 0.5000 0.5000 0.5000  6 B 2.21
B1 0.0000 0.5000 0.5000  2 Ga 2.21
B2 0.5000 0.0000 0.5000  2 Ga 2.21
B3 0.5000 0.5000 0.0000  2 Ga 2.21



DFT (PBE) results for an optimized crystal structure of Ba4GaB10H7O24.

Computed properties:
Total energy: -7.055 eV/atom
Fermi-level density of states: 0.000 states/eV/atom
Total moment: 0.00 μB/f.u.

Cell: 7.1414 7.1414 22.8000 Å, 93.36 93.36 120.16°
With the nearest neighbours (Å) after each atom.
Fractional positions:
Ba1 0.0786 0.9214 0.5000  7 O 2.75-2.96
Ba2 0.2103 0.6080 0.2473  10 O 2.78-2.99, 2 H 3.07-3.10
Ba3 0.2166 0.7400 0.8769  8 O 2.68-2.99
Ba4 0.4247 0.5911 0.6105  8 O 2.71-2.99
Ba5 0.5911 0.4247 0.1105  8 O 2.71-2.99
Ba6 0.6080 0.2103 0.7473  10 O 2.78-2.99, 2 H 3.07-3.10
Ba7 0.7400 0.2166 0.3769  8 O 2.68-2.99
Ba8 0.9214 0.0786 0.0000  7 O 2.75-2.96
Ga1 0.8914 0.9523 0.2264  4 O 1.83-1.90
Ga2 0.9523 0.8914 0.7264  4 O 1.83-1.90
B1 0.0932 0.9056 0.1235  3 O 1.38-1.39
B2 0.1323 0.3345 0.7625  3 O 1.37-1.39
B3 0.1397 0.5852 0.0960  4 O 1.46-1.55
B4 0.1981 0.6884 0.7275  4 O 1.46-1.53
B5 0.3032 0.8906 0.0388  4 O 1.46-1.56
B6 0.3327 0.6857 0.4034  4 O 1.45-1.53
B7 0.3345 0.1323 0.2625  3 O 1.37-1.39
B8 0.5024 0.5432 0.4677  4 O 1.46-1.53
B9 0.5158 0.6305 0.7573  4 O 1.45-1.53
B10 0.5432 0.5024 0.9677  4 O 1.46-1.53
B11 0.5643 0.9336 0.4968  4 O 1.48-1.51
B12 0.5852 0.1397 0.5960  4 O 1.46-1.55
B13 0.6192 0.6205 0.8668  3 O 1.37-1.39
B14 0.6205 0.6192 0.3668  3 O 1.37-1.39
B15 0.6305 0.5158 0.2573  4 O 1.45-1.53
B16 0.6857 0.3327 0.9034  4 O 1.45-1.53
B17 0.6884 0.1981 0.2275  4 O 1.46-1.53
B18 0.8906 0.3032 0.5388  4 O 1.46-1.56
B19 0.9056 0.0932 0.6235  3 O 1.38-1.39
B20 0.9336 0.5643 0.9968  4 O 1.48-1.51
H1 0.0572 0.0933 0.8473  1 O 1.00
H2 0.0753 0.2931 0.1332  1 O 0.99
H3 0.0866 0.7325 0.3641  1 O 0.97
H4 0.0933 0.0572 0.3473  1 O 1.00
H5 0.1359 0.4934 0.4884  1 O 1.00
H6 0.1737 0.2480 0.4016  1 O 1.01
H7 0.2480 0.1737 0.9016  1 O 1.01
H8 0.2931 0.0753 0.6332  1 O 0.99
H9 0.3608 0.5731 0.0237  1 O 1.00
H10 0.4934 0.1359 0.9884  1 O 1.00
H11 0.5440 0.9642 0.1487  1 O 0.98
H12 0.5731 0.3608 0.5237  1 O 1.00
H13 0.7325 0.0866 0.8641  1 O 0.97
H14 0.9642 0.5440 0.6487  1 O 0.98
O1 0.0102 0.2161 0.5784  1 B 1.39
O2 0.0520 0.5107 0.5196  1 H 1.00
O3 0.0662 0.0893 0.3880  2 H 1.00-1.01
O4 0.0675 0.7091 0.1385  2 B 1.39-1.55
O5 0.0703 0.4897 0.7611  2 B 1.39-1.53
O6 0.0893 0.0662 0.8880  2 H 1.00-1.01
O7 0.1176 0.6363 0.6638  1 H 0.98
O8 0.1219 0.6188 0.3687  1 H 0.97
O9 0.1291 0.9747 0.2747  1 B 1.39
O10 0.1342 0.7716 0.9891  2 B 1.47-1.48
O11 0.1822 0.8673 0.7568  1 B 1.46
O12 0.1909 0.4445 0.1306  1 H 0.99
O13 0.2161 0.0102 0.0784  1 B 1.39
O14 0.2958 0.4988 0.4354  2 B 1.47-1.48
O15 0.3416 0.3887 0.7546  2 B 1.37-1.53
O16 0.3421 0.7469 0.0744  2 B 1.46
O17 0.3584 0.4458 0.0019  1 H 1.00
O18 0.3887 0.3416 0.2546  2 B 1.37-1.53
O19 0.4100 0.8834 0.4424  2 B 1.45-1.51
O20 0.4272 0.7505 0.7291  2 B 1.45-1.46
O21 0.4445 0.1909 0.6306  1 H 0.99
O22 0.4458 0.3584 0.5019  1 H 1.00
O23 0.4608 0.9640 0.5489  2 B 1.46-1.50
O24 0.4897 0.0703 0.2611  2 B 1.39-1.53
O25 0.4961 0.7166 0.3590  2 B 1.39-1.53
O26 0.4988 0.2958 0.9354  2 B 1.47-1.48
O27 0.5107 0.0520 0.0196  1 H 1.00
O28 0.5552 0.6534 0.9213  2 B 1.39-1.53
O29 0.5738 0.7145 0.8216  2 B 1.37-1.50
O30 0.6078 0.7512 0.5057  2 B 1.47-1.50
O31 0.6188 0.1219 0.8687  1 H 0.97
O32 0.6363 0.1176 0.1638  1 H 0.98
O33 0.6379 0.6915 0.2264  1 B 1.45
O34 0.6534 0.5552 0.4213  2 B 1.39-1.53
O35 0.6915 0.6379 0.7264  1 B 1.45
O36 0.7091 0.0675 0.6385  2 B 1.39-1.55
O37 0.7145 0.5738 0.3216  2 B 1.37-1.50
O38 0.7166 0.4961 0.8590  2 B 1.39-1.53
O39 0.7469 0.3421 0.5744  2 B 1.46
O40 0.7505 0.4272 0.2291  2 B 1.45-1.46
O41 0.7512 0.6078 0.0057  2 B 1.47-1.50
O42 0.7716 0.1342 0.4891  2 B 1.47-1.48
O43 0.8673 0.1822 0.2568  1 B 1.46
O44 0.8834 0.4100 0.9424  2 B 1.45-1.51
O45 0.9640 0.4608 0.0489  2 B 1.46-1.50
O46 0.9747 0.1291 0.7747  1 B 1.39
O47 0.9882 0.9985 0.1508  1 B 1.38
O48 0.9985 0.9882 0.6508  1 B 1.38



DFT (PBE) results for an optimized crystal structure of BaGaBN2.

Computed properties:
Fermi-level density of states: 1.093 states/eV/atom
Formation energy (no corrections): 2.568 eV per atom
Total moment: 0.00 μB/f.u.

Cell: 4.4408 4.4408 6.8094 Å, 90.00 90.00 90.00°
With the nearest neighbours (Å) after each atom.
Fractional positions:
Ba1 0.0000 0.0000 0.0000  4 N 2.22
Ga1 0.0000 0.0000 0.5000  4 B 3.14, 2 Ba 3.40
B1 0.5000 0.5000 0.5000  4 Ga 3.14
N1 0.0000 0.5000 0.0000  2 Ba 2.22
N2 0.5000 0.0000 0.0000  2 Ba 2.22



Which formula does entry 6 have? BaGaB3



Which of these has the highest Fermi-level density of states? BaFe2BRh